Computed, not measured: crystalline TbSmGa2Au2 at its relaxed geometry at the GGA-PBE level of DFT.

## Properties
energy of formation = -0.78 eV/atom
size of the total moment = 0.000 μB/f.u.
E = -4.44 eV per atom

abc: 4.555 4.555 7.270
angles: 90.00 90.00 120.00
Fractional coordinates of all 6 atoms:
Tb (0.000, 0.000, 0.000)
Sm (0.000, 0.000, 0.500)
Ga (0.333, 0.667, 0.242)
Ga (0.667, 0.333, 0.758)
Au (0.333, 0.667, 0.760)
Au (0.667, 0.333, 0.240)

Computed, not measured: crystalline TbSmGaAu at its relaxed geometry at the GGA-PBE level of DFT.

## Properties
energy of formation = -0.70 eV/atom
size of the total moment = 0.000 μB/f.u.
E = -4.61 eV per atom
energy relative to the lowest polymorph listed for this composition = 0.000 eV per atom

abc: 4.546 5.973 5.973
angles: 37.85 90.00 90.00
Fractional coordinates of all 4 atoms:
Tb (0.000, 0.000, 0.000)
Sm (0.500, 0.715, 0.715)
Ga (0.000, 0.279, 0.279)
Au (0.500, 0.440, 0.440)

Computed, not measured: crystalline TbSmGaAu at its relaxed geometry at the GGA-PBE level of DFT.

## Properties
energy of formation = -0.66 eV/atom
size of the total moment = 0.000 μB/f.u.
E = -4.58 eV per atom
energy relative to the lowest polymorph listed for this composition = 0.035 eV per atom

abc: 5.169 5.169 5.169
angles: 60.00 60.00 60.00
Fractional coordinates of all 4 atoms:
Tb (0.000, 0.000, 0.000)
Sm (0.500, 0.500, 0.500)
Ga (0.750, 0.750, 0.750)
Au (0.250, 0.250, 0.250)

Computed, not measured: crystalline SmThGaAu at its relaxed geometry at the GGA-PBE level of DFT.

## Properties
energy of formation = -0.60 eV/atom
size of the total moment = 0.000 μB/f.u.
E = -5.21 eV per atom
energy relative to the lowest polymorph listed for this composition = 0.000 eV per atom

abc: 4.505 5.979 5.979
angles: 40.11 90.00 90.00
Fractional coordinates of all 4 atoms:
Sm (0.000, 0.000, 0.000)
Th (0.500, 0.717, 0.717)
Ga (0.000, 0.280, 0.280)
Au (0.500, 0.439, 0.439)

Computed, not measured: crystalline SmThGaAu at its relaxed geometry at the GGA-PBE level of DFT.

## Properties
energy of formation = -0.53 eV/atom
size of the total moment = 0.967 μB/f.u.
E = -5.14 eV per atom
energy relative to the lowest polymorph listed for this composition = 0.075 eV per atom

abc: 5.239 5.239 5.239
angles: 60.00 60.00 60.00
Fractional coordinates of all 4 atoms:
Sm (0.000, 0.000, 0.000)
Th (0.500, 0.500, 0.500)
Ga (0.750, 0.750, 0.750)
Au (0.250, 0.250, 0.250)

Computed, not measured: crystalline SmTlGaAu at its relaxed geometry at the GGA-PBE level of DFT.

## Properties
energy of formation = -0.42 eV/atom
size of the total moment = 0.000 μB/f.u.
E = -3.76 eV per atom

abc: 5.080 5.080 5.080
angles: 60.00 60.00 60.00
Fractional coordinates of all 4 atoms:
Sm (0.000, 0.000, 0.000)
Tl (0.500, 0.500, 0.500)
Ga (0.750, 0.750, 0.750)
Au (0.250, 0.250, 0.250)

Computed, not measured: crystalline Sm2TmGa3Au4 at its relaxed geometry at the GGA-PBE level of DFT.

## Properties
energy of formation = -0.66 eV/atom
size of the total moment = 0.000 μB/f.u.
E = -4.27 eV per atom

abc: 4.366 4.366 11.559
angles: 90.00 90.00 90.00
Fractional coordinates of all 10 atoms:
Sm (0.000, 0.500, 0.217)
Sm (0.500, 0.000, 0.783)
Tm (0.000, 0.000, 0.500)
Ga (0.000, 0.500, 0.872)
Ga (0.500, 0.000, 0.128)
Ga (0.500, 0.500, 0.500)
Au (0.000, 0.000, 0.000)
Au (0.000, 0.500, 0.655)
Au (0.500, 0.000, 0.345)
Au (0.500, 0.500, 0.000)

Computed, not measured: crystalline SmTmGa2Au2 at its relaxed geometry at the GGA-PBE level of DFT.

## Properties
energy of formation = -0.78 eV/atom
size of the total moment = 0.000 μB/f.u.
E = -4.42 eV per atom

abc: 4.538 4.538 7.179
angles: 90.00 90.00 120.00
Fractional coordinates of all 6 atoms:
Sm (0.000, 0.000, 0.000)
Tm (0.000, 0.000, 0.500)
Ga (0.333, 0.667, 0.736)
Ga (0.667, 0.333, 0.264)
Au (0.333, 0.667, 0.271)
Au (0.667, 0.333, 0.729)

Computed, not measured: crystalline SmTmGaAu at its relaxed geometry at the GGA-PBE level of DFT.

## Properties
energy of formation = -0.67 eV/atom
size of the total moment = 0.000 μB/f.u.
E = -4.55 eV per atom
energy relative to the lowest polymorph listed for this composition = 0.033 eV per atom

abc: 5.124 5.124 5.124
angles: 60.00 60.00 60.00
Fractional coordinates of all 4 atoms:
Sm (0.000, 0.000, 0.000)
Tm (0.500, 0.500, 0.500)
Ga (0.250, 0.250, 0.250)
Au (0.750, 0.750, 0.750)

Computed, not measured: crystalline SmTmGaAu at its relaxed geometry at the GGA-PBE level of DFT.

## Properties
energy of formation = -0.71 eV/atom
size of the total moment = 0.000 μB/f.u.
E = -4.58 eV per atom
energy relative to the lowest polymorph listed for this composition = 0.000 eV per atom

abc: 4.517 5.956 5.956
angles: 37.20 90.00 90.00
Fractional coordinates of all 4 atoms:
Sm (0.000, 0.000, 0.000)
Tm (0.500, 0.714, 0.714)
Ga (0.500, 0.431, 0.431)
Au (0.000, 0.272, 0.272)

Computed, not measured: crystalline Sm3Zn6GaAu2 at its relaxed geometry at the GGA-PBE level of DFT.

## Properties
energy of formation = -0.28 eV/atom
size of the total moment = 0.000 μB/f.u.
E = -2.90 eV per atom

abc: 5.434 5.434 9.745
angles: 90.00 90.00 120.00
Fractional coordinates of all 12 atoms:
Sm (0.000, 0.000, 0.000)
Sm (0.333, 0.667, 0.581)
Sm (0.667, 0.333, 0.419)
Zn (0.169, 0.338, 0.268)
Zn (0.169, 0.831, 0.268)
Zn (0.338, 0.169, 0.732)
Zn (0.662, 0.831, 0.268)
Zn (0.831, 0.169, 0.732)
Zn (0.831, 0.662, 0.732)
Ga (0.000, 0.000, 0.500)
Au (0.333, 0.667, 0.036)
Au (0.667, 0.333, 0.964)

Computed, not measured: crystalline SmZnGa2Au2 at its relaxed geometry at the GGA-PBE level of DFT.

## Properties
energy of formation = -0.50 eV/atom
size of the total moment = 0.000 μB/f.u.
E = -3.60 eV per atom

abc: 4.435 4.435 6.903
angles: 90.00 90.00 120.00
Fractional coordinates of all 6 atoms:
Sm (0.000, 0.000, 0.000)
Zn (0.000, 0.000, 0.500)
Ga (0.333, 0.667, 0.731)
Ga (0.667, 0.333, 0.269)
Au (0.333, 0.667, 0.306)
Au (0.667, 0.333, 0.694)

Computed, not measured: crystalline Sm2ZnGa3Au4 at its relaxed geometry at the GGA-PBE level of DFT.

## Properties
energy of formation = -0.61 eV/atom
size of the total moment = 0.000 μB/f.u.
E = -3.90 eV per atom

abc: 4.400 4.400 10.571
angles: 90.00 90.00 90.00
Fractional coordinates of all 10 atoms:
Sm (0.000, 0.500, 0.249)
Sm (0.500, 0.000, 0.751)
Zn (0.500, 0.500, 0.000)
Ga (0.000, 0.000, 0.000)
Ga (0.000, 0.500, 0.633)
Ga (0.500, 0.000, 0.367)
Au (0.000, 0.000, 0.500)
Au (0.000, 0.500, 0.868)
Au (0.500, 0.000, 0.132)
Au (0.500, 0.500, 0.500)

Computed, not measured: crystalline SmZn3GaAu at its relaxed geometry at the GGA-PBE level of DFT.

## Properties
energy of formation = -0.23 eV/atom
size of the total moment = 0.000 μB/f.u.
E = -2.71 eV per atom

abc: 7.145 7.145 5.902
angles: 90.00 90.00 128.33
Fractional coordinates of all 12 atoms:
Sm (0.204, 0.796, 0.750)
Sm (0.796, 0.204, 0.250)
Zn (0.198, 0.198, 0.000)
Zn (0.198, 0.198, 0.500)
Zn (0.370, 0.630, 0.250)
Zn (0.630, 0.370, 0.750)
Zn (0.802, 0.802, 0.000)
Zn (0.802, 0.802, 0.500)
Ga (0.425, 0.575, 0.750)
Ga (0.575, 0.425, 0.250)
Au (0.164, 0.836, 0.250)
Au (0.836, 0.164, 0.750)

Computed, not measured: crystalline SmZnGaAu3 at its relaxed geometry at the GGA-PBE level of DFT.

## Properties
energy of formation = -0.36 eV/atom
size of the total moment = 0.000 μB/f.u.
E = -3.50 eV per atom

abc: 7.015 7.015 6.037
angles: 90.00 90.00 122.28
Fractional coordinates of all 12 atoms:
Sm (0.202, 0.798, 0.750)
Sm (0.798, 0.202, 0.250)
Zn (0.443, 0.557, 0.750)
Zn (0.557, 0.443, 0.250)
Ga (0.135, 0.865, 0.250)
Ga (0.865, 0.135, 0.750)
Au (0.211, 0.211, 0.000)
Au (0.211, 0.211, 0.500)
Au (0.338, 0.662, 0.250)
Au (0.662, 0.338, 0.750)
Au (0.789, 0.789, 0.000)
Au (0.789, 0.789, 0.500)

Computed, not measured: crystalline Sm2Zn4Ga3Au at its relaxed geometry at the GGA-PBE level of DFT.

## Properties
energy of formation = -0.47 eV/atom
size of the total moment = 0.000 μB/f.u.
E = -3.16 eV per atom

abc: 4.239 4.239 10.703
angles: 90.00 90.00 90.00
Fractional coordinates of all 10 atoms:
Sm (0.000, 0.500, 0.247)
Sm (0.500, 0.000, 0.753)
Zn (0.000, 0.000, 0.000)
Zn (0.000, 0.500, 0.639)
Zn (0.500, 0.000, 0.361)
Zn (0.500, 0.500, 0.000)
Ga (0.000, 0.500, 0.866)
Ga (0.500, 0.000, 0.134)
Ga (0.500, 0.500, 0.500)
Au (0.000, 0.000, 0.500)

Computed, not measured: crystalline Sm2Zn4GaAu3 at its relaxed geometry at the GGA-PBE level of DFT.

## Properties
energy of formation = -0.51 eV/atom
size of the total moment = 0.000 μB/f.u.
E = -3.25 eV per atom

abc: 4.186 4.186 11.430
angles: 90.00 90.00 90.00
Fractional coordinates of all 10 atoms:
Sm (0.000, 0.500, 0.244)
Sm (0.500, 0.000, 0.756)
Zn (0.000, 0.000, 0.500)
Zn (0.000, 0.500, 0.865)
Zn (0.500, 0.000, 0.135)
Zn (0.500, 0.500, 0.500)
Ga (0.500, 0.500, 0.000)
Au (0.000, 0.000, 0.000)
Au (0.000, 0.500, 0.643)
Au (0.500, 0.000, 0.357)

Computed, not measured: crystalline SmZnGaAu2 at its relaxed geometry at the GGA-PBE level of DFT.

## Properties
energy of formation = -0.57 eV/atom
size of the total moment = 0.000 μB/f.u.
E = -3.68 eV per atom

abc: 6.854 6.854 6.854
angles: 145.45 145.45 49.66
Fractional coordinates of all 5 atoms:
Sm (0.000, 0.000, 0.000)
Zn (0.750, 0.250, 0.500)
Ga (0.250, 0.750, 0.500)
Au (0.389, 0.389, 0.000)
Au (0.611, 0.611, 0.000)

Computed, not measured: crystalline SmZrGaAu at its relaxed geometry at the GGA-PBE level of DFT.

## Properties
energy of formation = -0.47 eV/atom
size of the total moment = 1.047 μB/f.u.
E = -5.36 eV per atom

abc: 5.019 5.019 5.019
angles: 60.00 60.00 60.00
Fractional coordinates of all 4 atoms:
Sm (0.000, 0.000, 0.000)
Zr (0.500, 0.500, 0.500)
Ga (0.750, 0.750, 0.750)
Au (0.250, 0.250, 0.250)

Computed, not measured: crystalline GaSn2Au2 at its relaxed geometry at the GGA-PBE level of DFT.

## Properties
energy of formation = 0.02 eV/atom
size of the total moment = 0.000 μB/f.u.
E = -3.50 eV per atom
energy relative to the lowest polymorph listed for this composition = 0.157 eV per atom

abc: 7.983 7.983 3.654
angles: 90.00 90.00 90.00
Fractional coordinates of all 10 atoms:
Ga (0.000, 0.000, 0.000)
Ga (0.500, 0.500, 0.000)
Sn (0.172, 0.328, 0.000)
Sn (0.328, 0.828, 0.000)
Sn (0.672, 0.172, 0.000)
Sn (0.828, 0.672, 0.000)
Au (0.130, 0.630, 0.500)
Au (0.370, 0.130, 0.500)
Au (0.630, 0.870, 0.500)
Au (0.870, 0.370, 0.500)

Computed, not measured: crystalline Ga2SnAu4 at its relaxed geometry at the GGA-PBE level of DFT.

## Properties
energy of formation = -0.14 eV/atom
size of the total moment = 0.000 μB/f.u.
E = -3.44 eV per atom
energy relative to the lowest polymorph listed for this composition = 0.000 eV per atom

abc: 6.406 6.406 3.563
angles: 90.00 90.00 105.04
Fractional coordinates of all 7 atoms:
Ga (0.000, 0.500, 0.000)
Ga (0.500, 0.000, 0.000)
Sn (0.000, 0.000, 0.503)
Au (0.305, 0.305, 0.005)
Au (0.305, 0.695, 0.501)
Au (0.695, 0.305, 0.501)
Au (0.695, 0.695, 0.005)

Computed, not measured: crystalline GaSn2Au2 at its relaxed geometry at the GGA-PBE level of DFT.

## Properties
energy of formation = -0.14 eV/atom
size of the total moment = 0.000 μB/f.u.
E = -3.66 eV per atom
energy relative to the lowest polymorph listed for this composition = 0.000 eV per atom

abc: 6.964 6.964 8.670
angles: 90.00 90.00 143.57
Fractional coordinates of all 10 atoms:
Ga (0.141, 0.859, 0.500)
Ga (0.859, 0.141, 0.000)
Sn (0.069, 0.931, 0.803)
Sn (0.376, 0.624, 0.586)
Sn (0.624, 0.376, 0.086)
Sn (0.931, 0.069, 0.303)
Au (0.244, 0.756, 0.986)
Au (0.451, 0.549, 0.891)
Au (0.549, 0.451, 0.391)
Au (0.756, 0.244, 0.486)

Computed, not measured: crystalline GaSnAu3 at its relaxed geometry at the GGA-PBE level of DFT.

## Properties
energy of formation = 0.17 eV/atom
size of the total moment = 0.000 μB/f.u.
E = -3.20 eV per atom
energy relative to the lowest polymorph listed for this composition = 0.302 eV per atom

abc: 4.909 4.909 4.909
angles: 90.00 90.00 90.00
Fractional coordinates of all 5 atoms:
Ga (0.000, 0.000, 0.000)
Sn (0.500, 0.500, 0.500)
Au (0.000, 0.000, 0.500)
Au (0.000, 0.500, 0.000)
Au (0.500, 0.000, 0.000)

Computed, not measured: crystalline Ga2Sn2Au at its relaxed geometry at the GGA-PBE level of DFT.

## Properties
energy of formation = 0.23 eV/atom
size of the total moment = 0.000 μB/f.u.
E = -3.23 eV per atom
energy relative to the lowest polymorph listed for this composition = 0.259 eV per atom

abc: 6.611 6.611 6.611
angles: 139.15 139.15 59.15
Fractional coordinates of all 5 atoms:
Ga (0.104, 0.104, 0.000)
Ga (0.896, 0.896, 0.000)
Sn (0.250, 0.750, 0.500)
Sn (0.750, 0.250, 0.500)
Au (0.500, 0.500, 0.000)

Computed, not measured: crystalline Ga2SnAu2 at its relaxed geometry at the GGA-PBE level of DFT.

## Properties
energy of formation = -0.08 eV/atom
size of the total moment = 0.000 μB/f.u.
E = -3.40 eV per atom
energy relative to the lowest polymorph listed for this composition = 0.087 eV per atom

abc: 6.046 6.046 6.046
angles: 135.74 135.74 64.38
Fractional coordinates of all 5 atoms:
Ga (0.122, 0.122, 0.000)
Ga (0.878, 0.878, 0.000)
Sn (0.500, 0.500, 0.000)
Au (0.250, 0.750, 0.500)
Au (0.750, 0.250, 0.500)

Computed, not measured: crystalline Ga2SnAu2 at its relaxed geometry at the GGA-PBE level of DFT.

## Properties
energy of formation = -0.10 eV/atom
size of the total moment = 0.000 μB/f.u.
E = -3.42 eV per atom
energy relative to the lowest polymorph listed for this composition = 0.071 eV per atom

abc: 7.806 7.806 3.333
angles: 90.00 90.00 90.00
Fractional coordinates of all 10 atoms:
Ga (0.164, 0.336, 0.000)
Ga (0.336, 0.836, 0.000)
Ga (0.664, 0.164, 0.000)
Ga (0.836, 0.664, 0.000)
Sn (0.000, 0.000, 0.500)
Sn (0.500, 0.500, 0.500)
Au (0.134, 0.634, 0.500)
Au (0.366, 0.134, 0.500)
Au (0.634, 0.866, 0.500)
Au (0.866, 0.366, 0.500)